This record from Alexandria describes a geometry-optimized Ce2TiO5 structure. The functional is PBE.

Calculated values
Its raw formation energy is -3.2318 eV/atom. The density of states at the Fermi level comes out at 1.136 states/eV per atom. The calculation puts the volume at 13.72 Å³/atom. Its energy above the most stable polymorph in this dataset is 86 meV per atom.

Structure (CIF):
```
data_Ce2TiO5
_cell_length_a 11.263
_cell_length_b 5.418
_cell_length_c 7.682
_cell_angle_alpha 90.00
_cell_angle_beta 110.53
_cell_angle_gamma 90.00
_symmetry_space_group_name_H-M 'C 1 2/c 1'
_symmetry_Int_Tables_number 15
loop_
_symmetry_equiv_pos_as_xyz
'x,y,z'
'-x,-y,-z'
'-x,y,-z+1/2'
'x,-y,z+1/2'
'x+1/2,y+1/2,z'
'-x+1/2,-y+1/2,-z'
'-x+1/2,y+1/2,-z+1/2'
'x+1/2,-y+1/2,z+1/2'
loop_
_atom_site_label
_atom_site_fract_x
_atom_site_fract_y
_atom_site_fract_z
_atom_site_occupancy
Ce1 0.167 0.028 0.331 1
Ti1 0.000 0.500 0.000 1
O1 0.000 0.371 0.250 1
O2 0.137 0.256 0.036 1
O3 0.148 0.257 0.603 1
```